! Sr4MgMn2Ga2O11 (PBE with a Hubbard U, optimized geometry); values from VASP
&SYSTEM
  ibrav = 0, nat = 20, ntyp = 5
/
ATOMIC_SPECIES
Ga 69.72 Ga.upf
O 16.00 O.upf
Sr 87.62 Sr.upf
Mg 24.30 Mg.upf
Mn 54.94 Mn.upf
ATOMIC_POSITIONS angstrom
Ga -0.587 -4.458 0.080
Ga 2.242 -3.032 -2.450
O 7.162 -7.201 1.472
O 1.781 -1.184 -1.815
O 2.718 -6.503 2.550
O 4.173 -7.535 0.421
O 1.039 -4.412 1.155
O -0.953 -2.561 0.630
O 0.000 0.000 0.000
O 3.198 -3.325 -0.776
O 5.483 -5.110 0.077
O 5.003 -8.289 3.403
O 4.028 -4.079 2.206
Sr 5.924 -5.850 3.328
Sr 1.880 -1.954 1.001
Sr 2.277 -5.764 -0.701
Sr 6.322 -9.660 1.626
Mg 4.101 -5.807 1.313
Mn 5.054 -3.246 0.683
Mn 2.320 -4.623 3.128
CELL_PARAMETERS angstrom
-1.907 -5.122 1.261
3.561 -2.368 -3.630
6.547 -4.124 4.996
! energy above the lowest structure with this stoichiometry = 0.102 eV/atom
! DOS at the Fermi energy = 0.2911 states/eV per atom
! calculated volume = 265.0 Å³ per cell
! total magnetization = 7.99 Bohr magnetons per cell
! total energy = -6.28 eV/atom